A plane-wave DFT calculation with PBE was carried out for a relaxed structure of Y4As3W2C3.

Geometry as POSCAR:
```
Y4As3W2C3
1.0
5.2339 -3.0321 0.0000
5.2339 3.0321 0.0000
-3.4699 0.0000 13.0268
Y W As C
8 4 6 6
Cartesian
0.8604 0.4447 1.3846 Y
7.9318 0.5516 1.3897 Y
6.1377 -0.4447 11.6422 Y
6.1969 -0.5515 7.9031 Y
7.8726 0.4447 5.1288 Y
-0.8746 -0.4447 7.8980 Y
0.8011 0.5516 5.1237 Y
-0.9338 -0.5515 11.6372 Y
4.4625 0.5441 5.5222 W
2.5355 -0.5441 7.5046 W
4.2704 0.5441 0.9912 W
2.7276 -0.5441 12.0356 W
2.6315 -2.1183 9.7701 As
4.1278 0.3093 9.7644 As
4.3665 2.1183 3.2567 As
2.8702 -0.3094 3.2624 As
5.8627 -0.3093 3.2510 As
1.1353 0.3093 9.7758 As
0.8820 -1.5160 6.5134 C
6.0064 1.3312 0.0146 C
0.9916 -1.3312 13.0122 C
4.2715 -1.3312 6.5280 C
2.7265 1.3312 6.4988 C
2.6170 1.5160 0.0000 C
```

Properties
Energy in eV/atom: -8.324
M_tot in μB/atom: 0.00